! MnReOs PBE relaxed; values from VASP
! Excess energy over the best structure of this formula in the dataset, eV/atom: 0.3743
! DOS at the Fermi energy, states/eV per cell: 7.765
! DFT formation energy, kcal/mol of atoms: 10.3
! E_tot, eV/atom: -10.501
&SYSTEM
  ibrav = 0, nat = 6, ntyp = 3
/
ATOMIC_SPECIES
Mn 54.94 Mn.upf
Re 186.21 Re.upf
Os 190.23 Os.upf
CELL_PARAMETERS angstrom
2.679 0.000 0.000
0.000 4.402 0.000
0.000 0.000 7.237
ATOMIC_POSITIONS crystal
Mn 0.250 0.250 0.068
Mn 0.750 0.750 0.932
Re 0.250 0.250 0.434
Re 0.750 0.750 0.566
Os 0.250 0.750 0.228
Os 0.750 0.250 0.772